1.
Here is a geometry-optimized TlInPdRh structure from Alexandria. Energies are from PBE.

Computed properties:
ρ: 12.10 g/cm3

The structure in CIF format:
```
data_TlInPdRh
_chemical_formula_sum 'Tl4 In4 Pd4 Rh4'
_cell_length_a 6.6201
_cell_length_b 6.6201
_cell_length_c 6.6201
_cell_angle_alpha 90.00
_cell_angle_beta 90.00
_cell_angle_gamma 90.00
_symmetry_space_group_name_H-M 'F -4 3 m'
_symmetry_Int_Tables_number 216
_symmetry_space_group_name_Hall 'F -4 2 3'
loop_
_atom_site_label
_atom_site_fract_x
_atom_site_fract_y
_atom_site_fract_z
_atom_site_occupancy
Tl1 0.0000 0.0000 0.0000 1
In1 0.0000 0.0000 0.5000 1
Pd1 0.2500 0.2500 0.2500 1
Rh1 0.2500 0.2500 0.7500 1
```

2.
Here is a geometry-optimized Tm4InPdRh2 structure from Alexandria. Energies are from PBE.

Computed properties:
ρ: 10.79 g/cm3

The structure in CIF format:
```
data_Tm4InPdRh2
_chemical_formula_sum 'Tm12 In3 Pd3 Rh6'
_cell_length_a 4.9217
_cell_length_b 4.9217
_cell_length_c 24.2615
_cell_angle_alpha 90.00
_cell_angle_beta 90.00
_cell_angle_gamma 120.00
_symmetry_space_group_name_H-M 'R -3 m'
_symmetry_Int_Tables_number 166
_symmetry_space_group_name_Hall '-R 3 2"'
loop_
_atom_site_label
_atom_site_fract_x
_atom_site_fract_y
_atom_site_fract_z
_atom_site_occupancy
Tm1 0.0000 0.0000 0.1190 1
Tm2 0.0000 0.0000 0.3705 1
In1 0.0000 0.0000 0.5000 1
Pd1 0.0000 0.0000 0.0000 1
Rh1 0.0000 0.0000 0.2493 1
```

3.
Here is a geometry-optimized Tm5In2PdRh2 structure from Alexandria. Energies are from PBE.

Computed properties:
ρ: 9.86 g/cm3

The structure in CIF format:
```
data_Tm5In2PdRh2
_chemical_formula_sum 'Tm10 In4 Pd2 Rh4'
_cell_length_a 11.4784
_cell_length_b 11.4784
_cell_length_c 3.5437
_cell_angle_alpha 90.00
_cell_angle_beta 90.00
_cell_angle_gamma 90.00
_symmetry_space_group_name_H-M 'P 4/m b m'
_symmetry_Int_Tables_number 127
_symmetry_space_group_name_Hall '-P 4 2ab'
loop_
_atom_site_label
_atom_site_fract_x
_atom_site_fract_y
_atom_site_fract_z
_atom_site_occupancy
Tm1 0.0000 0.5000 0.0000 1
Tm2 0.0706 0.1980 0.0000 1
In1 0.1749 0.6749 0.5000 1
Pd1 0.0000 0.0000 0.5000 1
Rh1 0.1343 0.3657 0.5000 1
```

4.
Here is a geometry-optimized VInPdRh structure from Alexandria. Energies are from PBE.

Computed properties:
ρ: 9.72 g/cm3

The structure in CIF format:
```
data_VInPdRh
_chemical_formula_sum 'V4 In4 Pd4 Rh4'
_cell_length_a 6.3529
_cell_length_b 6.3529
_cell_length_c 6.3529
_cell_angle_alpha 90.00
_cell_angle_beta 90.00
_cell_angle_gamma 90.00
_symmetry_space_group_name_H-M 'F -4 3 m'
_symmetry_Int_Tables_number 216
_symmetry_space_group_name_Hall 'F -4 2 3'
loop_
_atom_site_label
_atom_site_fract_x
_atom_site_fract_y
_atom_site_fract_z
_atom_site_occupancy
V1 0.0000 0.0000 0.0000 1
In1 0.0000 0.0000 0.5000 1
Pd1 0.2500 0.2500 0.7500 1
Rh1 0.2500 0.2500 0.2500 1
```

5.
Here is a geometry-optimized In2PdRu2 structure from Alexandria. Energies are from PBE.

Computed properties:
ρ: 9.86 g/cm3

The structure in CIF format:
```
data_In2PdRu2
_chemical_formula_sum 'In4 Pd2 Ru4'
_cell_length_a 6.7727
_cell_length_b 6.7727
_cell_length_c 3.9519
_cell_angle_alpha 90.00
_cell_angle_beta 90.00
_cell_angle_gamma 90.00
_symmetry_space_group_name_H-M 'P 4/m b m'
_symmetry_Int_Tables_number 127
_symmetry_space_group_name_Hall '-P 4 2ab'
loop_
_atom_site_label
_atom_site_fract_x
_atom_site_fract_y
_atom_site_fract_z
_atom_site_occupancy
In1 0.1773 0.3227 0.0000 1
Pd1 0.0000 0.0000 0.5000 1
Ru1 0.1255 0.6255 0.5000 1
```

6.
Here is a geometry-optimized In2PdRu structure from Alexandria. Energies are from PBE.

Computed properties:
Excess energy over the best structure of this formula in the dataset: 41 meV per atom
ρ: 10.48 g/cm3

The structure in CIF format:
```
data_In2PdRu
_chemical_formula_sum 'In8 Pd4 Ru4'
_cell_length_a 6.5200
_cell_length_b 6.5200
_cell_length_c 6.5200
_cell_angle_alpha 90.00
_cell_angle_beta 90.00
_cell_angle_gamma 90.00
_symmetry_space_group_name_H-M 'F m -3 m'
_symmetry_Int_Tables_number 225
_symmetry_space_group_name_Hall '-F 4 2 3'
loop_
_atom_site_label
_atom_site_fract_x
_atom_site_fract_y
_atom_site_fract_z
_atom_site_occupancy
In1 0.2500 0.2500 0.2500 1
Pd1 0.0000 0.0000 0.0000 1
Ru1 0.0000 0.0000 0.5000 1
```

7.
Here is a geometry-optimized In2PdRu structure from Alexandria. Energies are from PBE.

Computed properties:
Excess energy over the best structure of this formula in the dataset: 586 meV per atom
ρ: 9.01 g/cm3

The structure in CIF format:
```
data_In2PdRu
_chemical_formula_sum 'In8 Pd4 Ru4'
_cell_length_a 4.1970
_cell_length_b 4.1970
_cell_length_c 18.2870
_cell_angle_alpha 90.00
_cell_angle_beta 90.00
_cell_angle_gamma 90.00
_symmetry_space_group_name_H-M 'I -4 2 d'
_symmetry_Int_Tables_number 122
_symmetry_space_group_name_Hall 'I -4 2bw'
loop_
_atom_site_label
_atom_site_fract_x
_atom_site_fract_y
_atom_site_fract_z
_atom_site_occupancy
In1 0.2450 0.2500 0.1250 1
Pd1 0.0000 0.0000 0.5000 1
Ru1 0.0000 0.0000 0.0000 1
```

8.
Here is a geometry-optimized In2PdRu structure from Alexandria. Energies are from PBE.

Computed properties:
Excess energy over the best structure of this formula in the dataset: 0 meV per atom
ρ: 10.49 g/cm3

The structure in CIF format:
```
data_In2PdRu
_chemical_formula_sum 'In2 Pd1 Ru1'
_cell_length_a 4.5896
_cell_length_b 4.5896
_cell_length_c 3.2864
_cell_angle_alpha 90.00
_cell_angle_beta 90.00
_cell_angle_gamma 90.00
_symmetry_space_group_name_H-M 'P 4/m m m'
_symmetry_Int_Tables_number 123
_symmetry_space_group_name_Hall '-P 4 2'
loop_
_atom_site_label
_atom_site_fract_x
_atom_site_fract_y
_atom_site_fract_z
_atom_site_occupancy
In1 0.0000 0.5000 0.0000 1
Pd1 0.0000 0.0000 0.5000 1
Ru1 0.5000 0.5000 0.5000 1
```

| no. | ΔE_f (meV/atom) |
| --- | --- |
| 1 | -178 |
| 2 | -773 |
| 3 | -714 |
| 4 | -242 |
| 5 | 150 |
| 6 | -201 |
| 7 | 343 |
| 8 | -242 |